Compound: PaIrW
Source: the Alexandria database
Functional: PBE
Structure: optimized geometry

Calculated values
For the formation energy from the elements, the calculation gives 0.060 eV/atom. As for the total energy: -10.38 eV per atom. For the density, the calculation gives 15.68 g/cm3.

a b c (Å): 7.0690 7.0690 5.1472
angles (deg): 90.00 90.00 90.00
Space group P4_2/mmc (No. 131)
One atom of each set of equivalent atoms:
1 Pa 0.0000 0.2755 0.0000 [4 per cell]
2 Ir 0.0000 0.3029 0.5000 [4 per cell]
3 W 0.3318 0.5000 0.5000 [4 per cell]